Li10CaZn2 | GGA-PBE | optimized geometry

Properties
- Formation energy from the elements: -0.0586 eV per atom
- Density: 1.53 g/cm3
- M_tot: 0.00 μB per atom

Lattice parameters (Å, degrees): 5.419 13.652 14.077 90.00 90.00 90.00
Space group Fmmm (No. 69)
Asymmetric unit:
Li (0.000, 0.114, 0.105) (multiplicity 16)
Li (0.000, 0.184, 0.331) (multiplicity 16)
Li (0.250, 0.000, 0.250) (multiplicity 8)
Ca (0.000, 0.000, 0.500) (multiplicity 4)
Zn (0.250, 0.250, 0.000) (multiplicity 8)